Computed, not measured: a relaxed structure of BaTl4Bi4 at the GGA-PBE level of DFT.

Cell lengths 6.940, 6.940, 13.524 Å; angles 90.00, 90.00, 90.00 degrees
Fractional positions:
Ba 0.250 0.750 0.250
Ba 0.750 0.250 0.750
Tl 0.015 0.250 0.173
Tl 0.250 0.015 0.673
Tl 0.250 0.485 0.673
Tl 0.485 0.250 0.173
Tl 0.515 0.750 0.827
Tl 0.750 0.515 0.327
Tl 0.750 0.985 0.327
Tl 0.985 0.750 0.827
Bi 0.002 0.750 0.506
Bi 0.250 0.502 0.994
Bi 0.250 0.998 0.994
Bi 0.498 0.750 0.506
Bi 0.502 0.250 0.494
Bi 0.750 0.002 0.006
Bi 0.750 0.498 0.006
Bi 0.998 0.250 0.494

Values from the calculation:
The final energy is -3.1199 eV/atom. As for the crystal system: tetragonal. As for the calculated formation energy: -0.13 eV/atom.

Computed, not measured: a relaxed structure of Mg2RePb at the GGA-PBE level of DFT.

Cell lengths 2.977, 2.977, 9.634 Å; angles 90.00, 90.00, 105.17 degrees
Fractional positions:
Mg 0.000 0.000 0.211
Mg 0.000 0.000 0.789
Re 0.500 0.500 0.000
Pb 0.500 0.500 0.500

Values from the calculation:
The final energy is -4.4347 eV/atom. As for the crystal system: orthorhombic. As for the calculated formation energy: 0.40 eV/atom.

Computed, not measured: a relaxed structure of AcPr3Y12 at the GGA-PBE level of DFT.

Cell lengths 5.125, 5.125, 20.507 Å; angles 90.00, 90.00, 90.00 degrees
Fractional positions:
Ac 0.000 0.000 0.000
Pr 0.000 0.000 0.252
Pr 0.000 0.000 0.500
Pr 0.000 0.000 0.748
Y 0.000 0.500 0.129
Y 0.000 0.500 0.376
Y 0.000 0.500 0.624
Y 0.000 0.500 0.871
Y 0.500 0.000 0.129
Y 0.500 0.000 0.376
Y 0.500 0.000 0.624
Y 0.500 0.000 0.871
Y 0.500 0.500 0.000
Y 0.500 0.500 0.252
Y 0.500 0.500 0.500
Y 0.500 0.500 0.748

Values from the calculation:
The final energy is -5.9705 eV/atom. As for the crystal system: tetragonal. As for the calculated formation energy: 0.03 eV/atom.

Computed, not measured: a relaxed structure of Pr2Ga3Ni12Pt at the GGA-PBE level of DFT.

Cell lengths 9.494, 9.494, 9.494 Å; angles 37.11, 37.11, 37.11 degrees
Fractional positions:
Pr 0.150 0.150 0.150
Pr 0.850 0.850 0.850
Ga 0.000 0.500 0.500
Ga 0.500 0.000 0.500
Ga 0.500 0.500 0.000
Ni 0.083 0.083 0.691
Ni 0.083 0.691 0.083
Ni 0.143 0.567 0.567
Ni 0.309 0.917 0.917
Ni 0.433 0.433 0.857
Ni 0.433 0.857 0.433
Ni 0.567 0.143 0.567
Ni 0.567 0.567 0.143
Ni 0.691 0.083 0.083
Ni 0.857 0.433 0.433
Ni 0.917 0.309 0.917
Ni 0.917 0.917 0.309
Pt 0.500 0.500 0.500

Values from the calculation:
The final energy is -5.2435 eV/atom. As for the crystal system: trigonal. As for the calculated formation energy: -0.02 eV/atom.